# 1
Crystalline ZrReW2 at its relaxed geometry. Source: Alexandria, functional PBE.

Properties
ΔE to the lowest computed polymorph	415	meV/atom

extended XYZ file:
```
4
Lattice="2.832 0.000 0.000 0.000 4.535 0.000 0.000 0.000 5.397" Properties=species:S:1:pos:R:3 pbc="T T T"
W 0.000 0.000 5.350
Zr 1.416 2.267 1.349
W 0.000 0.000 2.746
Re 1.416 2.267 4.048
```


# 2
Crystalline NaLa2TlNi at its relaxed geometry. Source: Alexandria, functional PBE.

Properties
ΔE to the lowest computed polymorph	0	meV/atom

extended XYZ file:
```
5
Lattice="-3.967 -2.149 3.146 3.796 -1.837 3.532 -0.306 4.378 2.605" Properties=species:S:1:pos:R:3 pbc="T T T"
La -1.984 -1.075 1.573
Na -0.238 0.196 4.642
Tl -0.153 2.189 1.303
Ni 0.000 0.000 0.000
La 1.898 -0.918 1.766
```


# 3
Crystalline LiPmPrCd at its relaxed geometry. Source: Alexandria, functional PBE.

extended XYZ file:
```
4
Lattice="5.429 0.000 0.000 2.714 4.701 0.000 2.714 1.567 4.433" Properties=species:S:1:pos:R:3 pbc="T T T"
Pm 0.000 0.000 0.000
Li 2.714 1.567 1.108
Cd 8.143 4.701 3.324
Pr 5.429 3.134 2.216
```


| no. | V (Å³/f.u.) | ΔH_f (0 K) (eV/f.u.) |
| --- | --- | --- |
| 1 | 69.3 | 1.437 |
| 2 | 154.5 | -0.466 |
| 3 | 113.1 | -0.482 |